[1]
Entry from Alexandria: a relaxed structure of Na3Cd5H12 (GGA-PBE).

Cell lengths 11.143, 11.143, 11.143 Å; angles 109.47, 109.47, 109.47 degrees
Atoms (fractional coordinates):
Cd (0.375, 0.125, 0.750)
H (0.417, 0.299, 0.320)
Cd (0.500, 0.500, 0.500)
H (0.521, 0.320, 0.903)
H (0.799, 0.479, 0.382)
Cd (0.250, 0.875, 0.125)
Na (0.875, 0.125, 0.250)
H (0.479, 0.799, 0.882)
Cd (0.875, 0.625, 0.750)
H (0.680, 0.201, 0.583)
Na (0.125, 0.875, 0.750)
H (0.118, 0.417, 0.097)
H (0.083, 0.180, 0.201)
Na (0.375, 0.750, 0.625)
H (0.320, 0.799, 0.417)
H (0.021, 0.618, 0.701)
H (0.903, 0.820, 0.521)
H (0.680, 0.479, 0.597)
H (0.180, 0.083, 0.701)
H (0.882, 0.299, 0.479)
H (0.701, 0.118, 0.021)
Cd (0.750, 0.625, 0.375)
H (0.799, 0.320, 0.917)
H (0.201, 0.521, 0.618)
H (0.521, 0.201, 0.118)
Cd (0.625, 0.875, 0.250)
Cd (0.000, 0.500, 0.500)
Cd (0.000, 0.500, 0.000)
Cd (0.375, 0.250, 0.125)
Cd (0.625, 0.750, 0.875)
H (0.201, 0.680, 0.083)
H (0.597, 0.618, 0.417)
H (0.597, 0.979, 0.680)
Cd (0.875, 0.250, 0.625)
Na (0.625, 0.375, 0.750)
Cd (0.750, 0.125, 0.875)
H (0.917, 0.820, 0.799)
H (0.618, 0.021, 0.201)
H (0.820, 0.903, 0.021)
H (0.097, 0.917, 0.118)
H (0.299, 0.417, 0.820)
H (0.479, 0.680, 0.097)
H (0.417, 0.118, 0.597)
Na (0.750, 0.375, 0.125)
H (0.979, 0.382, 0.299)
Na (0.625, 0.250, 0.375)
H (0.903, 0.083, 0.882)
Cd (0.500, 0.000, 0.500)
H (0.583, 0.882, 0.403)
Cd (0.125, 0.750, 0.375)
H (0.403, 0.021, 0.320)
H (0.382, 0.403, 0.083)
H (0.882, 0.583, 0.903)
H (0.118, 0.701, 0.521)
Na (0.250, 0.125, 0.375)
H (0.083, 0.903, 0.382)
Cd (0.500, 0.500, 0.000)
H (0.701, 0.583, 0.180)
Cd (0.000, 0.000, 0.000)
Na (0.125, 0.250, 0.875)
H (0.097, 0.180, 0.479)
Na (0.750, 0.875, 0.625)
Na (0.250, 0.625, 0.875)
Cd (0.000, 0.000, 0.500)
H (0.021, 0.403, 0.820)
Na (0.375, 0.625, 0.250)
H (0.299, 0.882, 0.979)
H (0.583, 0.701, 0.680)
Na (0.875, 0.750, 0.125)
H (0.917, 0.097, 0.618)
Cd (0.500, 0.000, 0.000)
H (0.382, 0.979, 0.799)
H (0.320, 0.521, 0.403)
Cd (0.250, 0.375, 0.625)
H (0.618, 0.597, 0.917)
H (0.820, 0.917, 0.299)
H (0.403, 0.382, 0.583)
Cd (0.125, 0.375, 0.250)
H (0.180, 0.097, 0.979)
H (0.979, 0.597, 0.180)

Values from the calculation:
Spin magnetization ... 0.00 μB per atom
Final energy ... -47.00 eV per formula unit
Calculated volume ... 13.3 Å³ per atom

[2]
Entry from Alexandria: a relaxed structure of CoBCl2 (GGA-PBE).

Cell lengths 5.898, 5.898, 6.423 Å; angles 62.67, 62.67, 90.00 degrees
Atoms (fractional coordinates):
Cl (0.375, 0.330, 0.750)
Cl (0.080, 0.625, 0.250)
Cl (0.670, 0.125, 0.250)
Cl (0.875, 0.920, 0.750)
B (0.500, 0.500, 0.000)
B (0.250, 0.750, 0.500)
Co (0.750, 0.250, 0.500)
Co (0.000, 0.000, 0.000)

Values from the calculation:
E_form (uncorrected) ... 3.405 eV/f.u.
Spin magnetization ... 0.50 μB per atom
Final energy ... -14.07 eV per formula unit
Calculated volume ... 21.2 Å³ per atom

[3]
Entry from Alexandria: a relaxed structure of Nd5GePb2 (GGA-PBE).

Cell lengths 4.692, 8.482, 12.763 Å; angles 90.00, 90.00, 90.00 degrees
Atoms (fractional coordinates):
Nd (0.500, 0.196, 0.067)
Nd (0.500, 0.696, 0.433)
Nd (0.000, 0.145, 0.790)
Ge (0.000, 0.000, 0.000)
Pb (0.500, 0.080, 0.327)
Nd (0.000, 0.000, 0.500)
Ge (0.000, 0.500, 0.500)
Pb (0.500, 0.420, 0.827)
Nd (0.000, 0.500, 0.000)
Pb (0.500, 0.920, 0.673)
Nd (0.000, 0.855, 0.210)
Nd (0.000, 0.645, 0.710)
Nd (0.500, 0.304, 0.567)
Pb (0.500, 0.580, 0.173)
Nd (0.000, 0.355, 0.290)
Nd (0.500, 0.804, 0.933)

Values from the calculation:
Energy relative to the elements ... -0.590 eV per atom
Spin magnetization ... 0.00 μB per atom
Final energy ... -40.60 eV per formula unit
Calculated volume ... 31.7 Å³ per atom